(1)
Compound: Ba2Ag2SbP
Source: the Open Quantum Materials Database
Functional: PBE
Structure: optimized geometry

Output
Calculated density   5986 kg/m³
Electronic total energy   -3.901 eV per atom

Unit cell a=4.7375 b=4.7375 c=9.1785 alpha=90.00 beta=90.00 gamma=120.00
With the nearest neighbours (Å) after each atom.
Atoms (fractional coordinates):
Sb (0.6667, 0.3333, 0.4979)  3 Ag 2.74
Ba (0.3333, 0.6667, 0.2378)  6 Ag 3.49-3.66, 3 P 3.51, 3 Sb 3.63
Ba (0.3333, 0.6667, 0.7626)  3 P 3.49, 6 Ag 3.50-3.63, 3 Sb 3.66
P (0.0000, 0.0000, 0.9980)  3 Ag 2.74
Ag (0.6667, 0.3333, 0.0013)  3 P 2.74
Ag (0.0000, 0.0000, 0.5023)  3 Sb 2.74

(2)
Compound: Ba2Ag2SbP
Source: the Open Quantum Materials Database
Functional: PBE
Structure: optimized geometry

Output
Calculated density   5994 kg/m³
Electronic total energy   -3.901 eV per atom

Unit cell a=4.7373 b=4.7373 c=9.1671 alpha=90.00 beta=90.00 gamma=120.00
With the nearest neighbours (Å) after each atom.
Atoms (fractional coordinates):
Sb (0.3333, 0.6667, 0.5000)  3 Ag 2.74
Ba (0.6667, 0.3333, 0.2374)  3 P 3.50, 6 Ag 3.50-3.64, 3 Sb 3.64
Ba (0.6667, 0.3333, 0.7626)  3 P 3.50, 6 Ag 3.50-3.64, 3 Sb 3.64
Ag (0.0000, 0.0000, 0.5000)  3 Sb 2.74
Ag (0.3333, 0.6667, 0.0000)  3 P 2.74
P (0.0000, 0.0000, 0.0000)  3 Ag 2.74

(3)
Compound: BaSrAg2P2
Source: the Open Quantum Materials Database
Functional: PBE
Structure: optimized geometry

Output
Calculated density   5542 kg/m³
Electronic total energy   -4.091 eV per atom

Unit cell a=4.4810 b=4.4810 c=8.6614 alpha=90.00 beta=90.00 gamma=120.00
With the nearest neighbours (Å) after each atom.
Atoms (fractional coordinates):
Ag (0.6667, 0.3333, 0.4839)  3 P 2.59
Ag (0.3333, 0.6667, 0.0177)  3 P 2.59
P (0.6667, 0.3333, 0.0103)  3 Ag 2.59
P (0.3333, 0.6667, 0.4872)  3 Ag 2.59
Sr (0.0000, 0.0000, 0.2503)  6 Ag 3.28, 6 P 3.30-3.32
Ba (0.0000, 0.0000, 0.7506)  6 P 3.43-3.45, 6 Ag 3.47

- What is the calculated density in the first record?
  5986 kg/m³

- electronic total energy of number 3 (BaSrAg2P2)?
  -4.091 eV per atom

- Which value of electronic total energy does entry 3 give?
  -4.091 eV per atom